Entry 1:
DFT (GGA-PBE) results for a relaxed Mg2Ga2Ni3 crystal. Values from VASP.

Quantum ESPRESSO input file:
```
&SYSTEM
  ibrav = 0, nat = 7, ntyp = 3
/
ATOMIC_SPECIES
Ni 58.69 Ni.upf
Ga 69.72 Ga.upf
Mg 24.30 Mg.upf
CELL_PARAMETERS angstrom
4.1037 -0.0082 -1.1510
-2.2189 3.6385 -0.0031
-0.2803 -0.1712 6.9500
ATOMIC_POSITIONS angstrom
Ni 0.0000 0.0000 0.0000
Ga 0.9443 3.0618 3.4563
Ni 1.2723 0.7708 4.6177
Ni 0.3322 2.6882 1.1783
Mg -0.6499 2.0971 5.6493
Ga 0.6602 0.3973 2.3396
Mg 2.2544 1.3620 0.1466
```

Calculated volume (Å³/atom): 14.58
Total energy (eV per cell): -28.6
Crystal system: triclinic

Entry 2:
DFT (GGA-PBE) results for a relaxed MgGaNi2 crystal. Values from VASP.

Quantum ESPRESSO input file:
```
&SYSTEM
  ibrav = 0, nat = 4, ntyp = 3
/
ATOMIC_SPECIES
Ni 58.69 Ni.upf
Ga 69.72 Ga.upf
Mg 24.30 Mg.upf
CELL_PARAMETERS angstrom
-1.8123 1.4933 -1.8784
1.5473 -1.0720 -2.3451
-3.5806 -4.6458 -0.2388
ATOMIC_POSITIONS angstrom
Ni -0.8033 -1.0423 -0.0536
Ga -0.1325 0.2106 -2.1118
Ni -2.7773 -3.6035 -0.1852
Mg -1.9228 -2.1122 -2.2311
```

Calculated volume (Å³/atom): 13.27
Total energy (eV per cell): -17.5
Crystal system: tetragonal

Entry 3:
DFT (GGA-PBE) results for a relaxed MgGa2Ni5 crystal. Values from VASP.

Quantum ESPRESSO input file:
```
&SYSTEM
  ibrav = 0, nat = 8, ntyp = 3
/
ATOMIC_SPECIES
Ni 58.69 Ni.upf
Ga 69.72 Ga.upf
Mg 24.30 Mg.upf
CELL_PARAMETERS angstrom
-1.5219 3.8436 0.8023
-0.9958 -1.2102 3.9086
6.2517 0.2908 -0.5858
ATOMIC_POSITIONS angstrom
Ni 0.7936 -0.1893 2.4121
Ni -1.2588 1.3167 2.3555
Ga 1.1545 2.0937 3.2109
Ni 0.5305 2.3376 0.8589
Ga 2.5796 0.8305 0.9143
Ni 2.9405 3.1135 1.7131
Ni 3.2035 0.5866 3.2663
Mg 0.0000 0.0000 0.0000
```

Calculated volume (Å³/atom): 12.27
Total energy (eV per cell): -38.6
Crystal system: tetragonal

Entry 4:
DFT (GGA-PBE) results for a relaxed Mg3Ga2Ni crystal. Values from VASP.

Quantum ESPRESSO input file:
```
&SYSTEM
  ibrav = 0, nat = 12, ntyp = 3
/
ATOMIC_SPECIES
Mg 24.30 Mg.upf
Ga 69.72 Ga.upf
Ni 58.69 Ni.upf
CELL_PARAMETERS angstrom
5.5710 0.0000 0.0000
0.0000 5.7125 0.0000
-2.7855 -2.8563 6.8889
ATOMIC_POSITIONS angstrom
Mg 4.0323 0.0000 2.4278
Mg 2.7855 1.4281 0.0000
Mg 1.2468 0.0000 4.4611
Mg 2.7855 4.2844 0.0000
Mg -1.2468 2.8563 4.4611
Ga -1.6557 0.0000 5.2048
Mg 1.5387 2.8563 2.4278
Ga 1.6557 2.8563 5.2048
Ga 1.1298 0.0000 1.6841
Ga 4.4412 2.8563 1.6841
Ni 0.0000 1.4281 0.0000
Ni 0.0000 4.2844 0.0000
```

Calculated volume (Å³/atom): 18.27
Total energy (eV per cell): -35.0
Crystal system: orthorhombic

Entry 5:
DFT (GGA-PBE) results for a relaxed MgGa2Ni2 crystal. Values from VASP.

Quantum ESPRESSO input file:
```
&SYSTEM
  ibrav = 0, nat = 10, ntyp = 3
/
ATOMIC_SPECIES
Ni 58.69 Ni.upf
Ga 69.72 Ga.upf
Mg 24.30 Mg.upf
CELL_PARAMETERS angstrom
6.9008 0.0000 0.0000
0.0000 6.9008 0.0000
0.0000 0.0000 2.9396
ATOMIC_POSITIONS angstrom
Ni 5.9297 4.4215 0.0000
Ni 0.9711 2.4793 0.0000
Ni 2.4793 5.9297 0.0000
Ga 5.8355 2.3851 1.4698
Mg 0.0000 0.0000 0.0000
Ga 4.5157 5.8355 1.4698
Ga 1.0653 4.5157 1.4698
Ga 2.3851 1.0653 1.4698
Mg 3.4504 3.4504 0.0000
Ni 4.4215 0.9711 0.0000
```

Calculated volume (Å³/atom): 14.00
Total energy (eV per cell): -41.8
Crystal system: tetragonal

Entry 6:
DFT (GGA-PBE) results for a relaxed Mg2GaNi crystal. Values from VASP.

Quantum ESPRESSO input file:
```
&SYSTEM
  ibrav = 0, nat = 8, ntyp = 3
/
ATOMIC_SPECIES
Mg 24.30 Mg.upf
Ni 58.69 Ni.upf
Ga 69.72 Ga.upf
CELL_PARAMETERS angstrom
5.1737 0.0000 0.0000
0.0000 5.1816 0.3487
0.0000 -1.5583 4.9540
ATOMIC_POSITIONS angstrom
Mg 3.8803 -0.9515 3.1865
Mg 1.2934 0.3088 5.0310
Ni 0.0000 1.8116 2.6513
Mg 3.8803 3.3144 0.2716
Ni 2.5869 1.8116 2.6513
Mg 1.2934 4.5748 2.1162
Ga 3.8803 0.6821 0.9983
Ga 1.2934 2.9412 4.3044
```

Calculated volume (Å³/atom): 16.95
Total energy (eV per cell): -25.5
Crystal system: orthorhombic

Entry 7:
DFT (GGA-PBE) results for a relaxed Mg4Ga3Ni2 crystal. Values from VASP.

Quantum ESPRESSO input file:
```
&SYSTEM
  ibrav = 0, nat = 9, ntyp = 3
/
ATOMIC_SPECIES
Ga 69.72 Ga.upf
Mg 24.30 Mg.upf
Ni 58.69 Ni.upf
CELL_PARAMETERS angstrom
-3.1657 2.4497 -1.1053
-3.5438 -3.4880 2.4192
2.7976 2.7427 5.8670
ATOMIC_POSITIONS angstrom
Ga -3.5839 1.2847 5.3111
Mg -2.0090 2.3605 3.1846
Ni -2.7716 0.5591 1.3766
Ga -1.7719 -1.7440 1.2096
Ga -0.3280 0.4197 1.8698
Mg -1.9030 -0.6560 3.9962
Ni -1.1403 1.1453 5.8043
Mg -4.4550 -1.1268 2.4615
Mg 0.5431 2.8312 4.7194
```

Calculated volume (Å³/atom): 17.03
Total energy (eV per cell): -29.4
Crystal system: monoclinic

Entry 8:
DFT (GGA-PBE) results for a relaxed Mg2GaNi3 crystal. Values from VASP.

Quantum ESPRESSO input file:
```
&SYSTEM
  ibrav = 0, nat = 6, ntyp = 3
/
ATOMIC_SPECIES
Ni 58.69 Ni.upf
Mg 24.30 Mg.upf
Ga 69.72 Ga.upf
CELL_PARAMETERS angstrom
-4.6667 -0.9871 -0.5787
-1.0898 -3.8675 -2.6348
-1.7193 -3.8178 2.3572
ATOMIC_POSITIONS angstrom
Ni -0.5449 -1.9338 -1.3174
Mg -2.8139 -3.2643 -0.3223
Ni -0.8597 -1.9089 1.1786
Ga 0.0000 0.0000 0.0000
Mg -4.6620 -5.4082 -0.5340
Ni -2.3334 -0.4936 -0.2893
```

Calculated volume (Å³/atom): 13.99
Total energy (eV per cell): -25.7
Crystal system: trigonal

Entry 9:
DFT (GGA-PBE) results for a relaxed Mg2Ga9Ni3 crystal. Values from VASP.

Quantum ESPRESSO input file:
```
&SYSTEM
  ibrav = 0, nat = 28, ntyp = 3
/
ATOMIC_SPECIES
Ga 69.72 Ga.upf
Ni 58.69 Ni.upf
Mg 24.30 Mg.upf
CELL_PARAMETERS angstrom
-0.0817 3.3010 -6.5285
5.4020 -4.6308 1.7027
-6.7984 -7.8026 0.1841
ATOMIC_POSITIONS angstrom
Ga -0.3511 -2.9369 -4.2572
Ga -2.1233 -3.5965 -0.3883
Ni 3.5356 -0.3444 -4.3064
Ga -1.1269 -6.1956 -0.3846
Ga -2.8517 -3.5343 -3.1191
Ga -0.1767 -8.6197 -1.2060
Ni -5.0136 -8.7881 -0.3354
Ga 1.3736 -5.5982 -1.5227
Ni -2.5701 -1.9289 -5.0606
Mg -3.7863 -5.8971 -1.6118
Ga 3.1601 -3.0539 -0.2420
Mg 0.5557 -3.8717 0.7422
Ga 2.9537 -5.5742 0.7771
Ga -1.4010 -6.8792 -3.0353
Mg -2.0338 -5.2608 -5.3839
Ga -4.6381 -6.0786 -4.3997
Ga 0.6453 -5.5360 -4.2535
Ga -4.4317 -3.5583 -5.4189
Ga -0.0771 -2.2533 -1.6065
Ga 1.4140 -0.4394 -2.9994
Ni -0.7390 -4.5662 -2.3209
Ga -1.3013 -0.5128 -3.4358
Ga -1.0713 -11.3783 1.0052
Ga -0.4067 2.2458 -5.6469
Ni -0.0408 1.6505 -3.2643
Ni 1.0921 -7.2035 0.4189
Ga -2.8921 -8.6931 -1.6423
Mg 2.3083 -3.2354 -3.0299
```

Calculated volume (Å³/atom): 15.65
Total energy (eV per cell): -102.0
Crystal system: monoclinic

Entry 10:
DFT (GGA-PBE) results for a relaxed Mg2GaNi crystal. Values from VASP.

Quantum ESPRESSO input file:
```
&SYSTEM
  ibrav = 0, nat = 8, ntyp = 3
/
ATOMIC_SPECIES
Mg 24.30 Mg.upf
Ni 58.69 Ni.upf
Ga 69.72 Ga.upf
CELL_PARAMETERS angstrom
8.6570 0.0000 0.0000
0.0000 8.6570 0.0000
4.3285 4.3285 2.3262
ATOMIC_POSITIONS angstrom
Mg 10.8213 9.6770 1.7446
Ni 4.3285 8.6570 1.1631
Ni 4.3285 4.3285 0.0000
Ga 0.0000 0.0000 0.0000
Mg 3.3085 6.4928 0.5815
Mg 6.4928 7.6370 1.7446
Ga 8.6570 4.3285 1.1631
Mg 5.3485 2.1643 0.5815
```

Calculated volume (Å³/atom): 21.79
Total energy (eV per cell): -23.5
Crystal system: tetragonal

Number 1: DOS at the Fermi energy 2.84 states/eV/cell, ΔH_f (0 K) -0.2814 eV/atom. Number 2: DOS at the Fermi energy 1.94 states/eV/cell, ΔH_f (0 K) -0.3171 eV/atom. Number 3: DOS at the Fermi energy 5.06 states/eV/cell, ΔH_f (0 K) -0.2612 eV/atom. Number 4: DOS at the Fermi energy 6.14 states/eV/cell, ΔH_f (0 K) -0.1463 eV/atom. Number 5: DOS at the Fermi energy 2.54 states/eV/cell, ΔH_f (0 K) -0.3369 eV/atom. Number 6: DOS at the Fermi energy 2.48 states/eV/cell, ΔH_f (0 K) -0.1922 eV/atom. Number 7: DOS at the Fermi energy 2.66 states/eV/cell, ΔH_f (0 K) -0.2645 eV/atom. Number 8: DOS at the Fermi energy 2.93 states/eV/cell, ΔH_f (0 K) -0.3564 eV/atom. Number 9: DOS at the Fermi energy 10.14 states/eV/cell, ΔH_f (0 K) -0.2311 eV/atom. Number 10: DOS at the Fermi energy 3.39 states/eV/cell, ΔH_f (0 K) 0.0588 eV/atom.